The following is a DFT calculation (PBE) of In2BiTeIr after structural relaxation.

The structure in CIF format:
```
data_In2BiTeIr
_chemical_formula_sum 'In2 Bi1 Te1 Ir1'
_cell_length_a 5.218
_cell_length_b 5.218
_cell_length_c 5.340
_cell_angle_alpha 90.00
_cell_angle_beta 90.00
_cell_angle_gamma 90.00
_symmetry_space_group_name_H-M 'P 4/m m m'
_symmetry_Int_Tables_number 123
_symmetry_space_group_name_Hall '-P 4 2'
loop_
_atom_site_label
_atom_site_type_symbol
_atom_site_fract_x
_atom_site_fract_y
_atom_site_fract_z
In1 In 0.000 0.500 0.000
Bi1 Bi 0.000 0.000 0.500
Te1 Te 0.500 0.500 0.500
Ir1 Ir 0.000 0.000 0.000
```

Results
Formation energy without anion corrections   -0.046 eV per atom
E   -21.589 eV per cell